The following is a DFT calculation (PBE) of crystalline CaHfBr6 at its relaxed geometry.

Structure (extended XYZ):
```
8
Lattice="-3.044 -4.551 -4.982 7.067 1.123 -1.896 0.969 -4.660 5.394" Properties=species:S:1:pos:R:3 pbc="T T T"
Br 1.860 -4.908 2.931
Br -0.736 -5.333 -3.983
Br -1.294 -6.697 0.355
Br 6.286 -1.392 -1.839
Br 3.133 -3.181 -4.415
Br 5.728 -2.756 2.498
Ca 0.484 -2.330 2.697
Hf 0.000 0.000 0.000
```

Results
Its crystal system is monoclinic. Its relative energy among the computed polymorphs is 0.0 meV/atom. The size of the total moment is 0.0 μB per formula unit. The value obtained for the energy relative to the elements, uncorrected is -1.619 eV per atom. The space group is C2/m, No. 12.

---

The following is a DFT calculation (PBE) of crystalline PmPu2Sc at its relaxed geometry.

Structure (extended XYZ):
```
4
Lattice="4.951 0.000 0.000 0.000 4.714 0.000 0.000 0.000 4.714" Properties=species:S:1:pos:R:3 pbc="T T T"
Sc 2.476 2.357 2.357
Pu 0.000 0.000 2.357
Pu 0.000 2.357 0.000
Pm 2.476 0.000 0.000
```

Results
As for the formation energy: 0.197 eV/atom. Its crystal system is tetragonal. Its relative energy among the computed polymorphs is 3.3 meV/atom. The size of the total moment is 12.0 μB per formula unit. The space group is P4/mmm, No. 123.

---

The following is a DFT calculation (PBE) of crystalline P2IrOF at its relaxed geometry.

Structure (extended XYZ):
```
5
Lattice="3.963 0.000 0.000 0.000 3.963 0.000 0.000 0.000 4.117" Properties=species:S:1:pos:R:3 pbc="T T T"
Ir 1.981 1.981 2.058
P 0.000 1.981 0.000
P 1.981 0.000 0.000
O 0.000 0.000 2.058
F 0.000 0.000 0.000
```

Results
Its crystal system is tetragonal. Its relative energy among the computed polymorphs is 748.7 meV/atom. The size of the total moment is 0.0 μB per formula unit. The value obtained for the energy relative to the elements, uncorrected is 0.949 eV per atom. The space group is P4/mmm, No. 123.

---

The following is a DFT calculation (PBE) of crystalline K2U2PtSe6 at its relaxed geometry.

Structure (extended XYZ):
```
11
Lattice="-1.635 -6.315 -2.319 -0.868 1.599 6.680 -6.644 4.032 -2.979" Properties=species:S:1:pos:R:3 pbc="T T T"
Pt -3.322 2.016 -1.490
K -0.992 0.315 5.220
K -1.511 -5.031 -0.859
U -4.704 -1.691 -0.843
U -4.443 1.007 2.224
Se -5.417 0.395 -2.555
Se -3.730 -1.080 3.936
Se -5.161 3.032 0.443
Se -6.440 -0.797 1.250
Se -3.986 -3.716 0.939
Se -2.707 0.113 0.131
```

Results
Its crystal system is monoclinic. The size of the total moment is 4.0 μB per formula unit. The value obtained for the energy relative to the elements, uncorrected is -0.963 eV per atom. The space group is C2/m, No. 12.

---

Which calculated total energy belongs to each record? In order, -4.368; -9.740; -4.354; -5.665 eV/atom.